An optimized crystal structure of AcNd5Cd6, computed with PBE.

Geometry as CIF:
```
data_AcNd5Cd6
_cell_length_a 9.535
_cell_length_b 9.535
_cell_length_c 9.535
_cell_angle_alpha 146.47
_cell_angle_beta 131.74
_cell_angle_gamma 60.04
_space_group_name_H-M_alt 'P 1'
_space_group_IT_number 1
loop_
_space_group_symop_operation_xyz
'x,y,z'
loop_
_atom_site_label
_atom_site_fract_x
_atom_site_fract_y
_atom_site_fract_z
_atom_site_occupancy
Ac1 0.000 0.000 0.000 1
Nd1 0.163 0.663 0.500 1
Nd2 0.331 0.331 0.000 1
Nd3 0.500 0.000 0.500 1
Nd4 0.669 0.669 0.000 1
Nd5 0.837 0.337 0.500 1
Cd1 0.088 0.829 0.260 1
Cd2 0.269 0.500 0.769 1
Cd3 0.431 0.171 0.260 1
Cd4 0.569 0.829 0.740 1
Cd5 0.731 0.500 0.231 1
Cd6 0.912 0.171 0.740 1
```

Values from the calculation:
Its space group is Immm, No. 71. For the energy of formation, the calculation gives -29.56 kJ per mole of atoms.

***

An optimized crystal structure of YTaBiPt2, computed with PBE.

Geometry as CIF:
```
data_YTaBiPt2
_cell_length_a 4.957
_cell_length_b 4.957
_cell_length_c 5.337
_cell_angle_alpha 90.00
_cell_angle_beta 90.00
_cell_angle_gamma 90.00
_space_group_name_H-M_alt 'P 1'
_space_group_IT_number 1
loop_
_space_group_symop_operation_xyz
'x,y,z'
loop_
_atom_site_label
_atom_site_fract_x
_atom_site_fract_y
_atom_site_fract_z
_atom_site_occupancy
Y1 0.000 0.000 0.000 1
Ta1 0.500 0.500 0.500 1
Bi1 0.500 0.500 0.000 1
Pt1 0.000 0.500 0.500 1
Pt2 0.500 0.000 0.500 1
```

Values from the calculation:
Its space group is P4/mmm, No. 123. For the energy of formation, the calculation gives 11.30 kJ per mole of atoms.

***

An optimized crystal structure of PrEu2Dy, computed with PBE.

Geometry as CIF:
```
data_PrEu2Dy
_cell_length_a 3.701
_cell_length_b 3.701
_cell_length_c 10.695
_cell_angle_alpha 90.00
_cell_angle_beta 90.00
_cell_angle_gamma 90.00
_space_group_name_H-M_alt 'P 1'
_space_group_IT_number 1
loop_
_space_group_symop_operation_xyz
'x,y,z'
loop_
_atom_site_label
_atom_site_fract_x
_atom_site_fract_y
_atom_site_fract_z
_atom_site_occupancy
Pr1 0.000 0.000 0.000 1
Eu1 0.500 0.500 0.256 1
Eu2 0.500 0.500 0.744 1
Dy1 0.000 0.000 0.500 1
```

Values from the calculation:
The energy above the lowest structure with this stoichiometry comes out at 13 meV/atom. Its space group is P4/mmm, No. 123. For the energy of formation, the calculation gives 9.66 kJ per mole of atoms.

***

An optimized crystal structure of La3HoTl2, computed with PBE.

Geometry as CIF:
```
data_La3HoTl2
_cell_length_a 9.859
_cell_length_b 9.859
_cell_length_c 9.859
_cell_angle_alpha 139.35
_cell_angle_beta 58.66
_cell_angle_gamma 139.59
_space_group_name_H-M_alt 'P 1'
_space_group_IT_number 1
loop_
_space_group_symop_operation_xyz
'x,y,z'
loop_
_atom_site_label
_atom_site_fract_x
_atom_site_fract_y
_atom_site_fract_z
_atom_site_occupancy
La1 0.177 0.749 0.926 1
La2 0.250 0.250 0.000 1
La3 0.323 0.249 0.572 1
La4 0.677 0.751 0.428 1
La5 0.750 0.750 0.000 1
La6 0.823 0.251 0.074 1
Ho1 0.250 0.750 0.500 1
Ho2 0.750 0.250 0.500 1
Tl1 0.133 0.261 0.395 1
Tl2 0.367 0.761 0.128 1
Tl3 0.633 0.239 0.872 1
Tl4 0.867 0.739 0.605 1
```

Values from the calculation:
The energy above the lowest structure with this stoichiometry comes out at 27 meV/atom. Its space group is Ibam, No. 72. For the energy of formation, the calculation gives -25.28 kJ per mole of atoms.

***

An optimized crystal structure of TbNd3Pt, computed with PBE.

Geometry as CIF:
```
data_TbNd3Pt
_cell_length_a 6.600
_cell_length_b 5.190
_cell_length_c 8.999
_cell_angle_alpha 90.00
_cell_angle_beta 96.67
_cell_angle_gamma 90.00
_space_group_name_H-M_alt 'P 1'
_space_group_IT_number 1
loop_
_space_group_symop_operation_xyz
'x,y,z'
loop_
_atom_site_label
_atom_site_fract_x
_atom_site_fract_y
_atom_site_fract_z
_atom_site_occupancy
Tb1 0.240 0.250 0.249 1
Tb2 0.760 0.750 0.751 1
Nd1 0.109 0.250 0.791 1
Nd2 0.277 0.750 0.556 1
Nd3 0.323 0.750 0.981 1
Nd4 0.677 0.250 0.019 1
Nd5 0.723 0.250 0.444 1
Nd6 0.891 0.750 0.209 1
Pt1 0.471 0.750 0.292 1
Pt2 0.529 0.250 0.708 1
```

Values from the calculation:
Its space group is P2_1/m, No. 11. For the energy of formation, the calculation gives -40.32 kJ per mole of atoms.

***

An optimized crystal structure of BaSnO3, computed with PBE.

Geometry as CIF:
```
data_BaSnO3
_cell_length_a 12.332
_cell_length_b 12.332
_cell_length_c 12.332
_cell_angle_alpha 160.89
_cell_angle_beta 160.89
_cell_angle_gamma 27.16
_space_group_name_H-M_alt 'P 1'
_space_group_IT_number 1
loop_
_space_group_symop_operation_xyz
'x,y,z'
loop_
_atom_site_label
_atom_site_fract_x
_atom_site_fract_y
_atom_site_fract_z
_atom_site_occupancy
Ba1 0.000 0.000 0.000 1
Ba2 0.750 0.250 0.500 1
Sn1 0.135 0.635 0.500 1
Sn2 0.365 0.865 0.500 1
O1 0.315 0.315 0.000 1
O2 0.414 0.093 0.321 1
O3 0.685 0.685 0.000 1
O4 0.772 0.093 0.679 1
O5 0.907 0.228 0.321 1
O6 0.907 0.586 0.679 1
```

Values from the calculation:
The calculation puts the formation energy from raw total energies at -1131.0 meV per atom. Its space group is I-4m2, No. 119.

***

An optimized crystal structure of Mg3SnAu, computed with PBE.

Geometry as CIF:
```
data_Mg3SnAu
_cell_length_a 9.017
_cell_length_b 7.821
_cell_length_c 3.145
_cell_angle_alpha 90.00
_cell_angle_beta 90.00
_cell_angle_gamma 90.00
_space_group_name_H-M_alt 'P 1'
_space_group_IT_number 1
loop_
_space_group_symop_operation_xyz
'x,y,z'
loop_
_atom_site_label
_atom_site_fract_x
_atom_site_fract_y
_atom_site_fract_z
_atom_site_occupancy
Mg1 0.048 0.208 0.000 1
Mg2 0.250 0.567 0.999 1
Mg3 0.452 0.208 0.000 1
Mg4 0.548 0.792 0.000 1
Mg5 0.750 0.433 0.999 1
Mg6 0.952 0.792 0.000 1
Sn1 0.250 0.945 0.503 1
Sn2 0.750 0.055 0.503 1
Au1 0.000 0.500 0.500 1
Au2 0.500 0.500 0.500 1
```

Values from the calculation:
The energy above the lowest structure with this stoichiometry comes out at 0 meV/atom. Its space group is Pma2, No. 28. For the energy of formation, the calculation gives -30.70 kJ per mole of atoms.

***

An optimized crystal structure of HRuI2O, computed with PBE.

Geometry as CIF:
```
data_HRuI2O
_cell_length_a 5.210
_cell_length_b 5.210
_cell_length_c 2.940
_cell_angle_alpha 90.00
_cell_angle_beta 90.00
_cell_angle_gamma 90.00
_space_group_name_H-M_alt 'P 1'
_space_group_IT_number 1
loop_
_space_group_symop_operation_xyz
'x,y,z'
loop_
_atom_site_label
_atom_site_fract_x
_atom_site_fract_y
_atom_site_fract_z
_atom_site_occupancy
H1 0.000 0.000 0.000 1
Ru1 0.500 0.500 0.500 1
I1 0.000 0.500 0.000 1
I2 0.500 0.000 0.000 1
O1 0.000 0.000 0.500 1
```

Values from the calculation:
The energy above the lowest structure with this stoichiometry comes out at 530 meV/atom. Its space group is P4/mmm, No. 123.

***

An optimized crystal structure of BaIn6, computed with PBE.

Geometry as CIF:
```
data_BaIn6
_cell_length_a 6.871
_cell_length_b 6.871
_cell_length_c 8.976
_cell_angle_alpha 90.00
_cell_angle_beta 90.00
_cell_angle_gamma 90.00
_space_group_name_H-M_alt 'P 1'
_space_group_IT_number 1
loop_
_space_group_symop_operation_xyz
'x,y,z'
loop_
_atom_site_label
_atom_site_fract_x
_atom_site_fract_y
_atom_site_fract_z
_atom_site_occupancy
Ba1 0.250 0.750 0.000 1
Ba2 0.750 0.250 0.000 1
In1 0.069 0.569 0.355 1
In2 0.069 0.931 0.645 1
In3 0.250 0.250 0.164 1
In4 0.250 0.250 0.836 1
In5 0.431 0.569 0.645 1
In6 0.431 0.931 0.355 1
In7 0.569 0.069 0.645 1
In8 0.569 0.431 0.355 1
In9 0.750 0.750 0.164 1
In10 0.750 0.750 0.836 1
In11 0.931 0.069 0.355 1
In12 0.931 0.431 0.645 1
```

Values from the calculation:
The energy above the lowest structure with this stoichiometry comes out at 0 meV/atom. Its space group is P4/nbm, No. 125. For the energy of formation, the calculation gives -20.58 kJ per mole of atoms.

***

An optimized crystal structure of Zr2InTc, computed with PBE.

Geometry as CIF:
```
data_Zr2InTc
_cell_length_a 3.421
_cell_length_b 3.421
_cell_length_c 6.854
_cell_angle_alpha 90.00
_cell_angle_beta 90.00
_cell_angle_gamma 90.00
_space_group_name_H-M_alt 'P 1'
_space_group_IT_number 1
loop_
_space_group_symop_operation_xyz
'x,y,z'
loop_
_atom_site_label
_atom_site_fract_x
_atom_site_fract_y
_atom_site_fract_z
_atom_site_occupancy
Zr1 0.000 0.000 0.000 1
Zr2 0.500 0.500 0.270 1
In1 0.000 0.000 0.556 1
Tc1 0.500 0.500 0.790 1
```

Values from the calculation:
The energy above the lowest structure with this stoichiometry comes out at 242 meV/atom. Its space group is P4mm, No. 99. For the energy of formation, the calculation gives -12.81 kJ per mole of atoms.

***

An optimized crystal structure of Th2FeSe, computed with PBE.

Geometry as CIF:
```
data_Th2FeSe
_cell_length_a 3.960
_cell_length_b 3.960
_cell_length_c 22.335
_cell_angle_alpha 90.00
_cell_angle_beta 90.00
_cell_angle_gamma 120.00
_space_group_name_H-M_alt 'P 1'
_space_group_IT_number 1
loop_
_space_group_symop_operation_xyz
'x,y,z'
loop_
_atom_site_label
_atom_site_fract_x
_atom_site_fract_y
_atom_site_fract_z
_atom_site_occupancy
Th1 0.000 0.000 0.000 1
Th2 0.000 0.000 0.197 1
Th3 0.333 0.667 0.667 1
Th4 0.333 0.667 0.864 1
Th5 0.667 0.333 0.333 1
Th6 0.667 0.333 0.530 1
Fe1 0.000 0.000 0.602 1
Fe2 0.333 0.667 0.268 1
Fe3 0.667 0.333 0.935 1
Se1 0.000 0.000 0.431 1
Se2 0.333 0.667 0.098 1
Se3 0.667 0.333 0.764 1
```

Values from the calculation:
The calculation puts the formation energy from raw total energies at -738.1 meV per atom. The energy above the lowest structure with this stoichiometry comes out at 55 meV/atom. Its space group is R3m, No. 160.